# Mn2FeO3 | Alexandria | meta-GGA SCAN | PBEsol geometry
data_Mn2FeO3
_cell_length_a 5.272
_cell_length_b 3.027
_cell_length_c 7.428
_cell_angle_alpha 90.00
_cell_angle_beta 90.29
_cell_angle_gamma 90.00
_symmetry_space_group_name_H-M 'P 1 2/m 1'
_symmetry_Int_Tables_number 10
_symmetry_space_group_name_Hall '-P 2y'
loop_
_atom_site_label
_atom_site_type_symbol
_atom_site_fract_x
_atom_site_fract_y
_atom_site_fract_z
Mn1 Mn 0.000 0.000 0.000
Mn2 Mn 0.171 0.500 0.339
Mn3 Mn 0.500 0.500 0.000
Fe1 Fe 0.334 0.000 0.667
O1 O 0.000 0.000 0.500
O2 O 0.165 0.500 0.830
O3 O 0.333 0.000 0.167
O4 O 0.500 0.500 0.500
# Crystal system ... monoclinic
# E_form (uncorrected) ... -1.649 eV/atom
# DFT total energy ... -83.229 eV per formula unit